# 1
Here is Cu2Au after structural relaxation from Alexandria via LeMat-Bulk. Energies are from GGA-PBE.

Properties
Calculated volume in Å³ per atom: 14.417
Fermi-level density of states in states/eV/f.u.: 0.6
Final energy in eV/cell: -22.7
Energy of formation from the pure elements in eV per atom: 0.033
Magnetization in μB per atom: 0.000
ΔE to the lowest computed polymorph in meV per atom: 70

a b c (Å): 4.3876 4.3876 5.1884
angles (deg): 90.00 90.00 120.00
Fractional positions:
Au 0.6667 0.3333 0.7500
Au 0.3333 0.6667 0.2500
Cu 0.3333 0.6667 0.7500
Cu 0.0000 0.0000 0.5000
Cu 0.6667 0.3333 0.2500
Cu 0.0000 0.0000 0.0000

# 2
Here is GeAsRh2 after structural relaxation from Alexandria via LeMat-Bulk. Energies are from GGA-PBE.

Properties
Calculated volume in Å³ per atom: 14.952
Fermi-level density of states in states/eV/f.u.: 4.8
Final energy in eV/cell: -24.7
Energy of formation from the pure elements in eV per atom: -0.192
Magnetization in μB per atom: 0.000
ΔE to the lowest computed polymorph in meV per atom: 370

a b c (Å): 4.3896 4.3896 4.3896
angles (deg): 60.00 60.00 60.00
Fractional positions:
Rh 0.7500 0.7500 0.7500
Rh 0.2500 0.2500 0.2500
As 0.5000 0.5000 0.5000
Ge 0.0000 0.0000 0.0000

# 3
Here is Mg4Si3 after structural relaxation from Alexandria via LeMat-Bulk. Energies are from GGA-PBE.

Properties
Calculated volume in Å³ per atom: 19.639
Fermi-level density of states in states/eV/f.u.: 2.1
Final energy in eV/cell: -89.1
Magnetization in μB per atom: 0.000
ΔE to the lowest computed polymorph in meV per atom: 84

a b c (Å): 6.3194 6.4455 13.9014
angles (deg): 91.51 88.36 103.65
Fractional positions:
Si 0.3576 0.7667 0.9496
Si 0.6242 0.4773 0.5388
Si 0.1606 0.2499 0.2098
Si 0.0203 0.0979 0.5544
Si 0.2331 0.4546 0.5213
Si 0.7186 0.4926 0.2731
Si 0.3353 0.6435 0.7807
Si 0.7328 0.1488 0.8281
Si 0.6343 0.0991 0.5348
Si 0.0119 0.6928 0.0460
Si 0.4174 0.1552 0.9312
Si 0.8696 0.3435 0.1236
Mg 0.4847 0.5160 0.0950
Mg 0.8008 0.9021 0.2132
Mg 0.9803 0.7344 0.4343
Mg 0.4003 0.1908 0.3664
Mg 0.5012 0.7456 0.3962
Mg 0.7113 0.8230 0.6831
Mg 0.9502 0.4224 0.6932
Mg 0.4302 0.2809 0.7093
Mg 0.4100 0.0301 0.1254
Mg 0.0798 0.9246 0.8221
Mg 0.9198 0.2493 0.3764
Mg 0.0968 0.3709 0.9142
Mg 0.6881 0.5613 0.8827
Mg 0.2606 0.8356 0.6166
Mg 0.1671 0.6624 0.2416
Mg 0.7843 0.9858 0.0030

# 4
Here is TaSi2NiMo after structural relaxation from Alexandria via LeMat-Bulk. Energies are from GGA-PBE.

Properties
Calculated volume in Å³ per atom: 18.259
Fermi-level density of states in states/eV/f.u.: 6.8
Final energy in eV/cell: -33.7
Magnetization in μB per atom: 0.000

a b c (Å): 4.5311 4.4468 4.5311
angles (deg): 90.00 90.00 90.00
Fractional positions:
Si 0.0000 0.0000 0.5000
Si 0.5000 0.0000 0.0000
Ni 0.0000 0.5000 0.0000
Ta 0.5000 0.5000 0.5000
Mo 0.0000 0.0000 0.0000

# 5
Here is ScSbOF2 after structural relaxation from Alexandria via LeMat-Bulk. Energies are from GGA-PBE.

Properties
Calculated volume in Å³ per atom: 17.972
Fermi-level density of states in states/eV/f.u.: 4.0
Final energy in eV/cell: -25.3
Magnetization in μB per atom: 0.338
ΔE to the lowest computed polymorph in meV per atom: 1005

a b c (Å): 4.5760 4.5760 4.2913
angles (deg): 90.00 90.00 90.00
Site moments in Bohr magnetons follow the coordinates.
Fractional positions:
F 0.5000 0.0000 0.0000  0.03
F 0.0000 0.5000 0.0000  0.03
Sb 0.0000 0.0000 0.0000  0.03
O 0.0000 0.0000 0.5000  0.02
Sc 0.5000 0.5000 0.5000  1.09

# 6
Here is Hf2MgIn5 after structural relaxation from Alexandria via LeMat-Bulk. Energies are from GGA-PBE.

Properties
Calculated volume in Å³ per atom: 22.135
Fermi-level density of states in states/eV/f.u.: 2.5
Final energy in eV/cell: -72.0
Energy of formation from the pure elements in eV per atom: -0.102
Magnetization in μB per atom: 0.000

a b c (Å): 4.5069 6.2722 12.5288
angles (deg): 90.00 90.00 90.00
Fractional positions:
Hf 0.5000 0.7682 0.1307
Hf 0.5000 0.2682 0.3693
Hf 0.5000 0.7318 0.6307
Hf 0.5000 0.2318 0.8693
In 0.0000 0.0000 0.0000
In 0.5000 0.2313 0.6171
In 0.5000 0.2687 0.1171
In 0.0000 0.5000 0.5000
In 0.0000 0.5146 0.2452
In 0.5000 0.7313 0.8829
In 0.0000 0.9854 0.7452
In 0.0000 0.4854 0.7548
In 0.0000 0.0146 0.2548
In 0.5000 0.7687 0.3829
Mg 0.0000 0.0000 0.5000
Mg 0.0000 0.5000 0.0000